1.
VASP calculation (PBE) on La3HoIr2 after structural relaxation.

Structure (POSCAR):
```
La3HoIr2
1.0
7.655 -2.442 0.000
7.655 2.442 0.000
-1.390 0.000 4.409
La Ho Ir
3 1 2
Direct
0.000 0.000 0.000 La
0.309 0.309 0.809 La
0.691 0.691 0.191 La
0.500 0.500 0.500 Ho
0.127 0.127 0.627 Ir
0.873 0.873 0.373 Ir
```

* N(E_F): 0.650 states/eV per atom
* space group: C2/m, No. 12
* ΔH_f (0 K): -12.7 kcal/mol of atoms
* E_tot: -40.4 eV/cell



2.
VASP calculation (PBE) on La2HoIr9 after structural relaxation.

Structure (POSCAR):
```
La2HoIr9
1.0
2.676 1.545 8.953
-2.676 1.545 8.953
0.000 -3.089 8.953
La Ho Ir
2 1 9
Direct
0.139 0.139 0.139 La
0.861 0.861 0.861 La
0.000 0.000 0.000 Ho
0.083 0.578 0.578 Ir
0.332 0.332 0.332 Ir
0.422 0.422 0.917 Ir
0.422 0.917 0.422 Ir
0.500 0.500 0.500 Ir
0.578 0.083 0.578 Ir
0.578 0.578 0.083 Ir
0.668 0.668 0.668 Ir
0.917 0.422 0.422 Ir
```

* N(E_F): 0.853 states/eV per atom
* space group: R-3m, No. 166
* ΔH_f (0 K): -12.0 kcal/mol of atoms
* E_tot: -100.5 eV/cell



3.
VASP calculation (PBE) on LaHoIr after structural relaxation.

Structure (POSCAR):
```
LaHoIr
1.0
6.559 0.000 0.000
0.000 7.103 0.000
-6.344 0.000 7.895
La Ho Ir
4 4 4
Direct
0.148 0.082 0.386 La
0.148 0.418 0.886 La
0.852 0.582 0.114 La
0.852 0.918 0.614 La
0.375 0.577 0.614 Ho
0.375 0.923 0.114 Ho
0.625 0.077 0.886 Ho
0.625 0.423 0.386 Ho
0.359 0.745 0.356 Ir
0.359 0.755 0.856 Ir
0.641 0.245 0.144 Ir
0.641 0.255 0.644 Ir
```

* energy above the most stable polymorph in this dataset: 33 meV per atom
* N(E_F): 0.597 states/eV per atom
* space group: P2_1/c, No. 14
* ΔH_f (0 K): -14.7 kcal/mol of atoms
* E_tot: -81.1 eV/cell



4.
VASP calculation (PBE) on LaHoIr after structural relaxation.

Structure (POSCAR):
```
LaHoIr
1.0
0.000 3.473 3.473
3.473 0.000 3.473
3.473 3.473 0.000
La Ho Ir
1 1 1
Direct
0.000 0.000 0.000 La
0.500 0.500 0.500 Ho
0.250 0.250 0.250 Ir
```

* energy above the most stable polymorph in this dataset: 65 meV per atom
* N(E_F): 1.066 states/eV per atom
* space group: F-43m, No. 216
* ΔH_f (0 K): -13.9 kcal/mol of atoms
* E_tot: -20.2 eV/cell